GGA-PBE KErCoSe3, optimized geometry; spin magnetization = 4.047 μB/cell; space group = C2/m, No. 12; VASP energy = -58.14 eV for the cell shown
1.0
-6.1514 -5.9451 1.3205
-4.0584 -7.3665 -2.0472
6.3840 -2.8390 5.1657
Co Er K Se
2 2 2 6
direct
0.4995 0.4995 0.2703
0.5005 0.5005 0.7297
0.8342 0.8342 0.4162
0.1658 0.1658 0.5838
0.1479 0.1479 0.0702
0.8521 0.8521 0.9298
0.5000 0.5000 0.0000
0.3475 0.3475 0.2082
0.6597 0.6597 0.3565
0.0000 0.0000 0.5000
0.3403 0.3403 0.6435
0.6525 0.6525 0.7918

***

GGA-PBE LaErCo2Si2, optimized geometry; spin magnetization = 0.623 μB/cell; space group = P4mm, No. 99; VASP energy = -38.81 eV for the cell shown
1.0
-0.2437 3.9143 0.7822
0.1862 -0.7716 3.9196
6.8921 0.4758 -0.2337
Co Er La Si
2 1 1 2
direct
0.5000 0.0000 0.9935
0.0000 0.5000 0.9935
0.5000 0.5000 0.7014
0.0000 0.0000 0.3292
0.5000 0.5000 0.1647
0.0000 0.0000 0.8176

***

Calculated volume list, top to bottom, in Å³/cell: 300 111